(1)
Here is crystalline Sc2RhI at its relaxed geometry from Alexandria. Energies are from PBE.

The structure in extended XYZ format:
```
4
Lattice="0.000 3.462 3.462 3.462 0.000 3.462 3.462 3.462 0.000" Properties=species:S:1:pos:R:3 pbc="T T T"
Sc 1.731 1.731 1.731
Sc 5.193 5.193 5.193
Rh 0.000 0.000 0.000
I 3.462 3.462 3.462
```

Summary:
E above lowest polymorph in meV/atom: 396.4
Size of the total moment in μB/f.u.: 1.14
E_form (uncorrected) in eV/atom: -0.28


(2)
Here is crystalline Na2CdAgO4 at its relaxed geometry from Alexandria. Energies are from PBE.

The structure in extended XYZ format:
```
8
Lattice="6.185 0.000 0.000 0.000 3.138 0.000 -2.925 0.000 5.643" Properties=species:S:1:pos:R:3 pbc="T T T"
Na 0.000 0.000 0.000
Na -1.463 1.569 2.822
Cd 1.630 0.000 2.822
Ag 3.092 1.569 0.000
O 0.628 1.569 1.717
O -0.560 0.000 4.508
O 3.820 0.000 1.135
O 2.632 1.569 3.927
```

Summary:
Size of the total moment in μB/f.u.: 0.80
E_form (uncorrected) in eV/atom: -0.78


(3)
Here is crystalline Hf2AgC at its relaxed geometry from Alexandria. Energies are from PBE.

The structure in extended XYZ format:
```
8
Lattice="-3.273 3.273 3.405 3.273 -3.273 3.405 3.273 3.273 -3.405" Properties=species:S:1:pos:R:3 pbc="T T T"
Hf 4.909 1.131 -0.851
Hf 1.131 1.636 0.851
Hf -1.636 2.142 2.554
Hf 2.142 1.636 4.257
Ag 3.273 0.000 1.703
Ag 0.000 0.000 3.405
C 0.000 0.000 0.000
C 0.000 3.273 1.703
```

Summary:
Size of the total moment in μB/f.u.: 0.00


(4)
Here is crystalline HgB3N at its relaxed geometry from Alexandria. Energies are from PBE.

The structure in extended XYZ format:
```
5
Lattice="4.238 0.000 0.000 0.000 4.238 0.000 0.000 0.000 4.238" Properties=species:S:1:pos:R:3 pbc="T T T"
Hg 0.000 0.000 0.000
B 0.000 0.000 2.119
B 0.000 2.119 0.000
B 2.119 0.000 0.000
N 2.119 2.119 2.119
```

Summary:
E above lowest polymorph in meV/atom: 1209.9
Size of the total moment in μB/f.u.: 0.00
E_form (uncorrected) in eV/atom: 3.23


(5)
Here is crystalline Sm3AgO6 at its relaxed geometry from Alexandria. Energies are from PBE.

The structure in extended XYZ format:
```
20
Lattice="4.597 -5.713 0.000 4.597 5.713 0.000 0.000 0.000 5.707" Properties=species:S:1:pos:R:3 pbc="T T T"
Sm 4.597 4.541 2.854
Sm 2.727 1.304 2.540
Sm 2.727 -1.304 5.393
Sm 6.468 1.304 2.540
Sm 6.468 -1.304 5.393
Sm 4.597 -4.541 0.000
Ag 4.597 1.637 5.392
Ag 4.597 -1.637 2.538
O 3.182 2.946 4.181
O 1.465 0.171 4.112
O 1.465 -0.171 1.259
O 4.597 2.522 1.577
O 6.012 2.946 4.181
O 4.597 0.205 3.777
O 4.597 -0.205 0.923
O 3.182 -2.946 1.328
O 4.597 -2.522 4.430
O 7.730 0.171 4.112
O 7.730 -0.171 1.259
O 6.012 -2.946 1.328
```

Summary:
Size of the total moment in μB/f.u.: 0.82
E_form (uncorrected) in eV/atom: -2.52


(6)
Here is crystalline SrIn2NiSn at its relaxed geometry from Alexandria. Energies are from PBE.

The structure in extended XYZ format:
```
5
Lattice="5.044 0.000 0.000 0.000 5.044 0.000 0.000 0.000 5.152" Properties=species:S:1:pos:R:3 pbc="T T T"
Sr 0.000 0.000 0.000
In 0.000 2.522 2.576
In 2.522 0.000 2.576
Ni 2.522 2.522 2.576
Sn 2.522 2.522 0.000
```

Summary:
Size of the total moment in μB/f.u.: 0.00


(7)
Here is crystalline AlInRe2 at its relaxed geometry from Alexandria. Energies are from PBE.

The structure in extended XYZ format:
```
4
Lattice="3.222 0.000 0.000 0.000 3.222 0.000 0.000 0.000 6.300" Properties=species:S:1:pos:R:3 pbc="T T T"
Al 0.000 0.000 0.000
In 0.000 0.000 3.150
Re 1.611 1.611 1.277
Re 1.611 1.611 5.023
```

Summary:
E above lowest polymorph in meV/atom: 265.7
Size of the total moment in μB/f.u.: 0.00


(8)
Here is crystalline Al3SiTc at its relaxed geometry from Alexandria. Energies are from PBE.

The structure in extended XYZ format:
```
10
Lattice="4.888 0.000 0.000 0.000 7.603 0.000 -2.336 0.000 4.323" Properties=species:S:1:pos:R:3 pbc="T T T"
Al -0.122 1.901 1.222
Al 0.186 4.291 2.992
Al 0.186 7.113 2.992
Al 2.366 0.490 1.331
Al 2.366 3.311 1.331
Al 2.673 5.702 3.101
Si -1.366 1.901 3.333
Si 3.918 5.702 0.990
Tc 1.450 5.702 0.881
Tc 1.101 1.901 3.442
```

Summary:
E above lowest polymorph in meV/atom: 0.0
Size of the total moment in μB/f.u.: 0.00
E_form (uncorrected) in eV/atom: -0.22


| no. | energy (eV/atom) |
| --- | --- |
| 1 | -5.67 |
| 2 | -4.06 |
| 3 | -7.93 |
| 4 | -2.50 |
| 5 | -7.19 |
| 6 | -3.63 |
| 7 | -7.48 |
| 8 | -5.62 |